No. 1
This record from OQMD describes crystalline GdDyAg2 at its relaxed geometry. The functional is PBE.

Summary:
- total moment (μB per formula unit) = 0.00
- formation enthalpy at 0 K (meV/atom) = -291
- crystal system = orthorhombic

Unit cell a=4.7800 b=3.7244 c=11.0281 alpha=90.00 beta=90.00 gamma=90.00
Space group Amm2 (No. 38)
Inequivalent atoms, fractional coordinates:
1 Gd 0.0000 0.0000 0.0000 (multiplicity 2)
2 Dy 0.5000 0.0000 0.7130 (multiplicity 2)
3 Ag 0.0000 0.0000 0.2762 (multiplicity 2)
4 Ag 0.5000 0.0000 0.4354 (multiplicity 2)

No. 2
This record from OQMD describes crystalline PmHfNO at its relaxed geometry. The functional is PBE.

Summary:
- total moment (μB per formula unit) = 0.00
- crystal system = orthorhombic
- polymorph energy (0 for the lowest one) (kJ/mol of atoms) = 11.5

Unit cell a=6.5844 b=7.6536 c=5.3240 alpha=90.00 beta=90.00 gamma=90.00
Space group Pca2_1 (No. 29)
Inequivalent atoms, fractional coordinates:
1 Pm 0.0661 0.1296 0.0000 (multiplicity 4)
2 Hf 0.1085 0.6490 0.9902 (multiplicity 4)
3 N 0.0805 0.1521 0.4765 (multiplicity 4)
4 O 0.0833 0.5556 0.6104 (multiplicity 4)

No. 3
This record from OQMD describes crystalline TlRe3As5 at its relaxed geometry. The functional is PBE.

Summary:
- total moment (μB per formula unit) = 0.03
- electronic total energy (eV/f.u.) = -59.8
- crystal system = hexagonal

Unit cell a=5.3735 b=5.3735 c=7.7568 alpha=90.00 beta=90.00 gamma=120.00
Space group P6/mmm (No. 191)
Inequivalent atoms, fractional coordinates:
1 Tl 0.0000 0.0000 0.0000 (multiplicity 1)
2 Re 0.0000 0.5000 0.5000 (multiplicity 3)
3 As 0.0000 0.0000 0.5000 (multiplicity 1)
4 As 0.3333 0.6667 0.2270 (multiplicity 4)

No. 4
This record from OQMD describes crystalline Nb2SbAu at its relaxed geometry. The functional is PBE.

Summary:
- total moment (μB per formula unit) = 0.02
- electronic total energy (eV/f.u.) = -26.3
- crystal system = cubic

Unit cell a=6.7560 b=6.7560 c=6.7560 alpha=90.00 beta=90.00 gamma=90.00
Space group F-43m (No. 216)
Inequivalent atoms, fractional coordinates:
1 Nb 0.0000 0.0000 0.0000 (multiplicity 4)
2 Nb 0.2500 0.2500 0.2500 (multiplicity 4)
3 Sb 0.0000 0.0000 0.5000 (multiplicity 4)
4 Au 0.2500 0.2500 0.7500 (multiplicity 4)

No. 5
This record from OQMD describes crystalline Na2Sc2In2AgPt at its relaxed geometry. The functional is PBE.

Summary:
- total moment (μB per formula unit) = 0.01
- electronic total energy (eV/f.u.) = -32.3
- crystal system = tetragonal

Unit cell a=4.7933 b=4.7933 c=6.8842 alpha=90.00 beta=90.00 gamma=90.00
Space group P-4m2 (No. 115)
Inequivalent atoms, fractional coordinates:
1 Na 0.0000 0.0000 0.0000 (multiplicity 1)
2 Na 0.5000 0.5000 0.5000 (multiplicity 1)
3 Sc 0.0000 0.5000 0.7318 (multiplicity 2)
4 In 0.0000 0.5000 0.2526 (multiplicity 2)
5 Ag 0.5000 0.5000 0.0000 (multiplicity 1)
6 Pt 0.0000 0.0000 0.5000 (multiplicity 1)

No. 6
This record from OQMD describes crystalline La3Sn3PdPt2 at its relaxed geometry. The functional is PBE.

Summary:
- total moment (μB per formula unit) = 0.00
- electronic total energy (eV/f.u.) = -53.6
- crystal system = hexagonal

Unit cell a=7.7180 b=7.7180 c=4.2202 alpha=90.00 beta=90.00 gamma=120.00
Space group P-62m (No. 189)
Inequivalent atoms, fractional coordinates:
1 La 0.0000 0.4146 0.0000 (multiplicity 3)
2 Sn 0.0000 0.7520 0.5000 (multiplicity 3)
3 Pd 0.0000 0.0000 0.0000 (multiplicity 1)
4 Pt 0.3333 0.6667 0.5000 (multiplicity 2)